No. 1
GGA-PBEsol MgTeOs2, relaxed; raw formation energy = 349 meV per atom; space-group type = P4mm
1.0
2.935 0.000 0.000
0.000 2.935 0.000
0.000 0.000 8.279
Mg Te Os
1 1 2
Direct
0.000 0.000 0.000 Mg
0.500 0.500 0.679 Te
0.000 0.000 0.415 Os
0.500 0.500 0.226 Os

No. 2
GGA-PBEsol KMgIr, relaxed; energy of formation = 633 meV per atom; space-group type = P3m1
1.0
5.028 0.000 0.000
-2.514 4.354 0.000
0.000 0.000 2.758
K Mg Ir
1 1 1
Direct
0.000 0.000 0.000 K
0.333 0.667 0.366 Mg
0.667 0.333 0.592 Ir

No. 3
GGA-PBEsol AlAs2PBr, relaxed; raw formation energy = 596 meV per atom; space-group type = P4/mmm
1.0
4.779 0.000 0.000
0.000 4.779 0.000
0.000 0.000 4.939
Al As P Br
1 2 1 1
Direct
0.000 0.000 0.000 Al
0.000 0.500 0.500 As
0.500 0.000 0.500 As
0.500 0.500 0.500 P
0.500 0.500 0.000 Br

Across the entries above, DOS at the Fermi energy takes the values 4.06, 2.97, 4.25 states/eV/cell, respectively.